Compound: K2NaRhAu
Source: Alexandria
Functional: GGA-PBEsol
Structure: relaxed

## Properties
formation energy: 932 meV/atom
DOS at the Fermi energy: 4.93 states/eV per cell
space group: No. 123
E: -2.214 eV/atom
volume: 32.844 Å³ per atom

a = 5.811 Å, b = 5.811 Å, c = 4.863 Å
α = 90.00°, β = 90.00°, γ = 90.00°
Positions (direct):
K: 0.000 0.500 0.000
K: 0.500 0.000 0.000
Na: 0.000 0.000 0.000
Rh: 0.000 0.000 0.500
Au: 0.500 0.500 0.500


Compound: CoTc2
Source: Alexandria
Functional: GGA-PBEsol
Structure: relaxed

## Properties
formation energy: 18 meV/atom
DOS at the Fermi energy: 14.99 states/eV per cell
space group: No. 141
E: -10.072 eV/atom
volume: 12.598 Å³ per atom

a = 11.354 Å, b = 11.354 Å, c = 11.354 Å
α = 161.25°, β = 161.25°, γ = 26.64°
Positions (direct):
Co: 0.290 0.540 0.750
Co: 0.460 0.710 0.750
Co: 0.540 0.290 0.250
Co: 0.710 0.460 0.250
Tc: 0.039 0.789 0.250
Tc: 0.126 0.376 0.750
Tc: 0.211 0.961 0.250
Tc: 0.376 0.126 0.250
Tc: 0.624 0.874 0.750
Tc: 0.789 0.039 0.750
Tc: 0.874 0.624 0.250
Tc: 0.961 0.211 0.750


Compound: Y3BiPt
Source: Alexandria
Functional: GGA-PBEsol
Structure: relaxed

## Properties
formation energy: 597 meV/atom
DOS at the Fermi energy: 8.55 states/eV per cell
space group: No. 221
E: -5.746 eV/atom
volume: 34.689 Å³ per atom

a = 5.577 Å, b = 5.577 Å, c = 5.577 Å
α = 90.00°, β = 90.00°, γ = 90.00°
Positions (direct):
Y: 0.000 0.000 0.500
Y: 0.000 0.500 0.000
Y: 0.500 0.000 0.000
Bi: 0.000 0.000 0.000
Pt: 0.500 0.500 0.500


Compound: YZr3
Source: Alexandria
Functional: GGA-PBEsol
Structure: relaxed

## Properties
formation energy: 61 meV/atom
DOS at the Fermi energy: 7.97 states/eV per cell
space group: No. 194
E: -8.462 eV/atom
volume: 23.990 Å³ per atom

a = 6.547 Å, b = 6.547 Å, c = 5.170 Å
α = 90.00°, β = 90.00°, γ = 120.00°
Positions (direct):
Y: 0.333 0.667 0.250
Y: 0.667 0.333 0.750
Zr: 0.161 0.322 0.750
Zr: 0.161 0.839 0.750
Zr: 0.322 0.161 0.250
Zr: 0.678 0.839 0.750
Zr: 0.839 0.161 0.250
Zr: 0.839 0.678 0.250


Compound: BeAg2B
Source: Alexandria
Functional: GGA-PBEsol
Structure: relaxed

## Properties
formation energy: 647 meV/atom
DOS at the Fermi energy: 0.90 states/eV per cell
space group: No. 225
E: -3.762 eV/atom
volume: 11.819 Å³ per atom

a = 4.059 Å, b = 4.059 Å, c = 4.059 Å
α = 60.00°, β = 60.00°, γ = 60.00°
Positions (direct):
Be: 0.000 0.000 0.000
Ag: 0.250 0.250 0.250
Ag: 0.750 0.750 0.750
B: 0.500 0.500 0.500


Compound: BaMn2Al
Source: Alexandria
Functional: GGA-PBEsol
Structure: relaxed

## Properties
formation energy: 247 meV/atom
DOS at the Fermi energy: 4.45 states/eV per cell
space group: No. 160
E: -6.194 eV/atom
volume: 22.887 Å³ per atom

a = 6.481 Å, b = 6.481 Å, c = 6.481 Å
α = 37.75°, β = 37.75°, γ = 37.75°
Positions (direct):
Ba: 0.000 0.000 0.000
Mn: 0.485 0.485 0.485
Mn: 0.807 0.807 0.807
Al: 0.188 0.188 0.188


Compound: ZrAsRh
Source: Alexandria
Functional: GGA-PBEsol
Structure: relaxed

## Properties
formation energy: -306 meV/atom
DOS at the Fermi energy: 1.94 states/eV per cell
space group: No. 156
E: -7.751 eV/atom
volume: 16.959 Å³ per atom

a = 3.055 Å, b = 3.055 Å, c = 6.297 Å
α = 90.00°, β = 90.00°, γ = 120.00°
Positions (direct):
Zr: 0.000 0.000 0.000
As: 0.333 0.667 0.641
Rh: 0.667 0.333 0.357


Compound: BeSi2Ir
Source: Alexandria
Functional: GGA-PBEsol
Structure: relaxed

## Properties
DOS at the Fermi energy: 1.67 states/eV per cell
E_form (uncorrected): -78 meV/atom
space group: No. 71
E: -6.407 eV/atom
volume: 12.183 Å³ per atom

a = 4.373 Å, b = 4.373 Å, c = 4.373 Å
α = 131.44°, β = 127.07°, γ = 74.65°
Positions (direct):
Be: 0.000 0.000 0.000
Si: 0.244 0.744 0.500
Si: 0.756 0.256 0.500
Ir: 0.500 0.500 0.000